No. 1
# ScTlAs3 PBE optimized geometry
data_ScTlAs3
_chemical_formula_sum 'Sc1 Tl1 As3'
_cell_length_a 5.168
_cell_length_b 5.168
_cell_length_c 5.168
_cell_angle_alpha 90.00
_cell_angle_beta 90.00
_cell_angle_gamma 90.00
_space_group_name_H-M_alt 'P m -3 m'
_space_group_IT_number 221
_space_group_name_Hall '-P 4 2 3'
loop_
_atom_site_label
_atom_site_type_symbol
_atom_site_fract_x
_atom_site_fract_y
_atom_site_fract_z
_atom_site_occupancy
Sc1 Sc 0.000 0.000 0.000 1
Tl1 Tl 0.500 0.500 0.500 1
As1 As 0.000 0.000 0.500 1
# Spin magnetization ... 0.00 μB/cell
# Energy of formation ... 0.19 eV per formula unit
# ΔE to the lowest computed polymorph ... 0 meV per atom
# Final energy ... -4.4907 eV per atom

No. 2
# ScTlAs4 PBE optimized geometry
data_ScTlAs4
_chemical_formula_sum 'Sc4 Tl4 As16'
_cell_length_a 8.052
_cell_length_b 8.052
_cell_length_c 8.052
_cell_angle_alpha 90.00
_cell_angle_beta 90.00
_cell_angle_gamma 90.00
_space_group_name_H-M_alt 'F -4 3 m'
_space_group_IT_number 216
_space_group_name_Hall 'F -4 2 3'
loop_
_atom_site_label
_atom_site_type_symbol
_atom_site_fract_x
_atom_site_fract_y
_atom_site_fract_z
_atom_site_occupancy
Sc1 Sc 0.000 0.000 0.000 1
Tl1 Tl 0.250 0.250 0.750 1
As1 As 0.125 0.125 0.375 1
# Spin magnetization ... 0.00 μB/cell
# Energy of formation ... 0.23 eV per formula unit
# Final energy ... -4.5112 eV per atom

No. 3
# ScTl2As PBE optimized geometry
data_ScTl2As
_chemical_formula_sum 'Sc3 Tl6 As3'
_cell_length_a 3.9466
_cell_length_b 3.9466
_cell_length_c 24.7896
_cell_angle_alpha 90.00
_cell_angle_beta 90.00
_cell_angle_gamma 120.00
_space_group_name_H-M_alt 'R 3 m'
_space_group_IT_number 160
_space_group_name_Hall 'R 3 -2"'
loop_
_atom_site_label
_atom_site_type_symbol
_atom_site_fract_x
_atom_site_fract_y
_atom_site_fract_z
_atom_site_occupancy
Sc1 Sc 0.0000 0.0000 0.0000 1
Tl1 Tl 0.0000 0.0000 0.2423 1
Tl2 Tl 0.0000 0.0000 0.4695 1
As1 As 0.0000 0.0000 0.7196 1
# Spin magnetization ... 0.00 μB/cell
# Energy of formation ... -1.17 eV per formula unit
# ΔE to the lowest computed polymorph ... 137 meV per atom
# Final energy ... -4.2202 eV per atom

No. 4
# ScTl4As PBE optimized geometry
data_ScTl4As
_chemical_formula_sum 'Sc4 Tl16 As4'
_cell_length_a 8.768
_cell_length_b 8.768
_cell_length_c 8.768
_cell_angle_alpha 90.00
_cell_angle_beta 90.00
_cell_angle_gamma 90.00
_space_group_name_H-M_alt 'F -4 3 m'
_space_group_IT_number 216
_space_group_name_Hall 'F -4 2 3'
loop_
_atom_site_label
_atom_site_type_symbol
_atom_site_fract_x
_atom_site_fract_y
_atom_site_fract_z
_atom_site_occupancy
Sc1 Sc 0.000 0.000 0.000 1
Tl1 Tl 0.125 0.125 0.625 1
As1 As 0.250 0.250 0.250 1
# Spin magnetization ... 0.03 μB/cell
# Energy of formation ... 2.02 eV per formula unit
# Final energy ... -3.0711 eV per atom

No. 5
# Sc3TlAs PBE optimized geometry
data_Sc3TlAs
_chemical_formula_sum 'Sc3 Tl1 As1'
_cell_length_a 5.021
_cell_length_b 5.021
_cell_length_c 5.021
_cell_angle_alpha 90.00
_cell_angle_beta 90.00
_cell_angle_gamma 90.00
_space_group_name_H-M_alt 'P m -3 m'
_space_group_IT_number 221
_space_group_name_Hall '-P 4 2 3'
loop_
_atom_site_label
_atom_site_type_symbol
_atom_site_fract_x
_atom_site_fract_y
_atom_site_fract_z
_atom_site_occupancy
Sc1 Sc 0.000 0.000 0.500 1
Tl1 Tl 0.500 0.500 0.500 1
As1 As 0.000 0.000 0.000 1
# Spin magnetization ... 0.00 μB/cell
# Energy of formation ... -2.49 eV per formula unit
# ΔE to the lowest computed polymorph ... 0 meV per atom
# Final energy ... -5.7001 eV per atom

No. 6
# ScTl2As PBE optimized geometry
data_ScTl2As
_chemical_formula_sum 'Sc4 Tl8 As4'
_cell_length_a 8.313
_cell_length_b 8.313
_cell_length_c 5.897
_cell_angle_alpha 90.00
_cell_angle_beta 90.00
_cell_angle_gamma 90.00
_space_group_name_H-M_alt 'I -4 2 d'
_space_group_IT_number 122
_space_group_name_Hall 'I -4 2bw'
loop_
_atom_site_label
_atom_site_type_symbol
_atom_site_fract_x
_atom_site_fract_y
_atom_site_fract_z
_atom_site_occupancy
Sc1 Sc 0.000 0.000 0.000 1
Tl1 Tl 0.234 0.750 0.625 1
As1 As 0.000 0.000 0.500 1
# Spin magnetization ... 0.00 μB/cell
# Energy of formation ... -0.27 eV per formula unit
# ΔE to the lowest computed polymorph ... 362 meV per atom
# Final energy ... -3.9955 eV per atom

No. 7
# ScTl2As PBE optimized geometry
data_ScTl2As
_chemical_formula_sum 'Sc2 Tl4 As2'
_cell_length_a 15.658
_cell_length_b 3.847
_cell_length_c 3.680
_cell_angle_alpha 90.00
_cell_angle_beta 98.40
_cell_angle_gamma 90.00
_space_group_name_H-M_alt 'C 1 2/m 1'
_space_group_IT_number 12
_space_group_name_Hall '-C 2y'
loop_
_atom_site_label
_atom_site_type_symbol
_atom_site_fract_x
_atom_site_fract_y
_atom_site_fract_z
_atom_site_occupancy
Sc1 Sc 0.000 0.000 0.000 1
Tl1 Tl 0.180 0.000 0.691 1
As1 As 0.000 0.500 0.500 1
# Spin magnetization ... 0.00 μB/cell
# Energy of formation ... -1.62 eV per formula unit
# ΔE to the lowest computed polymorph ... 23 meV per atom
# Final energy ... -4.3344 eV per atom

No. 8
# ScTlAs3 PBE optimized geometry
data_ScTlAs3
_chemical_formula_sum 'Sc1 Tl1 As3'
_cell_length_a 5.222
_cell_length_b 5.222
_cell_length_c 5.222
_cell_angle_alpha 90.00
_cell_angle_beta 90.00
_cell_angle_gamma 90.00
_space_group_name_H-M_alt 'P m -3 m'
_space_group_IT_number 221
_space_group_name_Hall '-P 4 2 3'
loop_
_atom_site_label
_atom_site_type_symbol
_atom_site_fract_x
_atom_site_fract_y
_atom_site_fract_z
_atom_site_occupancy
Sc1 Sc 0.000 0.000 0.000 1
Tl1 Tl 0.500 0.500 0.500 1
As1 As 0.000 0.500 0.500 1
# Spin magnetization ... 0.00 μB/cell
# Energy of formation ... 4.12 eV per formula unit
# ΔE to the lowest computed polymorph ... 785 meV per atom
# Final energy ... -3.7054 eV per atom

No. 9
# ScTl2As PBE optimized geometry
data_ScTl2As
_chemical_formula_sum 'Sc4 Tl8 As4'
_cell_length_a 7.311
_cell_length_b 7.311
_cell_length_c 7.311
_cell_angle_alpha 90.00
_cell_angle_beta 90.00
_cell_angle_gamma 90.00
_space_group_name_H-M_alt 'F -4 3 m'
_space_group_IT_number 216
_space_group_name_Hall 'F -4 2 3'
loop_
_atom_site_label
_atom_site_type_symbol
_atom_site_fract_x
_atom_site_fract_y
_atom_site_fract_z
_atom_site_occupancy
Sc1 Sc 0.000 0.000 0.000 1
Tl1 Tl 0.000 0.000 0.500 1
Tl2 Tl 0.250 0.250 0.250 1
As1 As 0.250 0.250 0.750 1
# Spin magnetization ... 0.00 μB/cell
# Energy of formation ... -0.16 eV per formula unit
# ΔE to the lowest computed polymorph ... 388 meV per atom
# Final energy ... -3.9690 eV per atom

No. 10
# ScTl2As PBE optimized geometry
data_ScTl2As
_chemical_formula_sum 'Sc1 Tl2 As1'
_cell_length_a 4.060
_cell_length_b 4.060
_cell_length_c 5.893
_cell_angle_alpha 90.00
_cell_angle_beta 90.00
_cell_angle_gamma 90.00
_space_group_name_H-M_alt 'P 4/m m m'
_space_group_IT_number 123
_space_group_name_Hall '-P 4 2'
loop_
_atom_site_label
_atom_site_type_symbol
_atom_site_fract_x
_atom_site_fract_y
_atom_site_fract_z
_atom_site_occupancy
Sc1 Sc 0.000 0.000 0.000 1
Tl1 Tl 0.500 0.500 0.253 1
As1 As 0.000 0.000 0.500 1
# Spin magnetization ... 0.00 μB/cell
# Energy of formation ... -0.12 eV per formula unit
# ΔE to the lowest computed polymorph ... 400 meV per atom
# Final energy ... -3.9578 eV per atom

No. 11
# ScTl2As PBE optimized geometry
data_ScTl2As
_chemical_formula_sum 'Sc2 Tl4 As2'
_cell_length_a 9.595
_cell_length_b 4.026
_cell_length_c 5.573
_cell_angle_alpha 90.00
_cell_angle_beta 108.50
_cell_angle_gamma 90.00
_space_group_name_H-M_alt 'C 1 m 1'
_space_group_IT_number 8
_space_group_name_Hall 'C -2y'
loop_
_atom_site_label
_atom_site_type_symbol
_atom_site_fract_x
_atom_site_fract_y
_atom_site_fract_z
_atom_site_occupancy
Sc1 Sc 0.000 0.000 0.000 1
Tl1 Tl 0.068 0.500 0.622 1
Tl2 Tl 0.299 0.500 0.380 1
As1 As 0.294 0.000 0.002 1
# Spin magnetization ... 0.00 μB/cell
# Energy of formation ... -1.05 eV per formula unit
# ΔE to the lowest computed polymorph ... 167 meV per atom
# Final energy ... -4.1909 eV per atom

No. 12
# ScTl2As PBE optimized geometry
data_ScTl2As
_chemical_formula_sum 'Sc1 Tl2 As1'
_cell_length_a 4.249
_cell_length_b 4.249
_cell_length_c 5.360
_cell_angle_alpha 90.00
_cell_angle_beta 90.00
_cell_angle_gamma 90.00
_space_group_name_H-M_alt 'P 4/m m m'
_space_group_IT_number 123
_space_group_name_Hall '-P 4 2'
loop_
_atom_site_label
_atom_site_type_symbol
_atom_site_fract_x
_atom_site_fract_y
_atom_site_fract_z
_atom_site_occupancy
Sc1 Sc 0.000 0.000 0.000 1
Tl1 Tl 0.000 0.500 0.500 1
As1 As 0.500 0.500 0.000 1
# Spin magnetization ... 0.00 μB/cell
# Energy of formation ... -0.76 eV per formula unit
# ΔE to the lowest computed polymorph ... 239 meV per atom
# Final energy ... -4.1180 eV per atom

Number 1: N(E_F) 0.748 states/eV per atom, calculated volume 138.1 Å³/f.u.. Number 2: N(E_F) 0.878 states/eV per atom, calculated volume 130.5 Å³/f.u.. Number 3: N(E_F) 0.830 states/eV per atom, calculated volume 111.5 Å³/f.u.. Number 4: N(E_F) 1.047 states/eV per atom, calculated volume 168.5 Å³/f.u.. Number 5: N(E_F) 0.559 states/eV per atom, calculated volume 126.5 Å³/f.u.. Number 6: N(E_F) 0.590 states/eV per atom, calculated volume 101.9 Å³/f.u.. Number 7: N(E_F) 0.406 states/eV per atom, calculated volume 109.6 Å³/f.u.. Number 8: N(E_F) 1.060 states/eV per atom, calculated volume 142.4 Å³/f.u.. Number 9: N(E_F) 0.895 states/eV per atom, calculated volume 97.7 Å³/f.u.. Number 10: N(E_F) 0.703 states/eV per atom, calculated volume 97.2 Å³/f.u.. Number 11: N(E_F) 0.332 states/eV per atom, calculated volume 102.1 Å³/f.u.. Number 12: N(E_F) 0.480 states/eV per atom, calculated volume 96.7 Å³/f.u..